! GGA-PBE Fe2HgIr, relaxed; values from VASP
&SYSTEM
  ibrav = 0, nat = 4, ntyp = 3
/
ATOMIC_SPECIES
Fe 55.84 Fe.upf
Hg 200.59 Hg.upf
Ir 192.22 Ir.upf
CELL_PARAMETERS angstrom
4.809 0.006 0.017
3.952 2.739 0.017
1.169 0.366 4.522
ATOMIC_POSITIONS angstrom
Fe 0.077 0.024 0.026
Hg 4.937 1.547 2.347
Ir 2.561 0.802 0.984
Fe 7.320 2.293 3.478
! **SG**: Cm (8)

! GGA-PBE RbYAlPt2, relaxed; values from VASP
&SYSTEM
  ibrav = 0, nat = 5, ntyp = 4
/
ATOMIC_SPECIES
Al 26.98 Al.upf
Pt 195.08 Pt.upf
Y 88.91 Y.upf
Rb 85.47 Rb.upf
CELL_PARAMETERS angstrom
-3.334 -4.007 0.101
0.860 -0.566 5.947
-3.938 3.300 0.884
ATOMIC_POSITIONS angstrom
Al -3.206 -0.636 3.466
Pt -1.667 -2.003 0.051
Pt -1.969 1.650 0.442
Y 0.000 0.000 0.000
Rb 0.430 -0.283 2.973
! **SG**: P4/mmm (123)

Calculated DFT formation energy, 0.292, 0.739 eV per atom (same order as the records).